A geometry-optimized TiAg2PtSe structure. Source: Alexandria, functional GGA-PBE.

Unit cell a=4.8226 b=4.8226 c=4.7808 alpha=90.00 beta=90.00 gamma=90.00
Last column: nearest neighbours and their distance in Å.
Fractional coordinates of all 5 atoms:
Ti1 0.0000 0.0000 0.0000  8 Ag 3.40, 4 Pt 3.41
Ag1 0.0000 0.5000 0.5000  2 Se 2.41
Ag2 0.5000 0.0000 0.5000  2 Se 2.41
Pt1 0.5000 0.5000 0.0000  2 Se 2.39
Se1 0.5000 0.5000 0.5000  2 Pt 2.39, 4 Ag 2.41

Computed properties:
**D(E_F)**: 6.6 states/eV/f.u.
**Theoretical density**: 8.0 g/cm³
**Formation energy without anion corrections**: 0.76 eV/atom